# 1
The following is a PBE calculation of a geometry-optimized AcLa2ErTl2 structure, from Alexandria.

Formation energy from the elements = -1.624 eV per formula unit
Space group = Pmc2_1, No. 26
Final energy = -4.15 eV/atom

Cell: 4.9345 9.7189 8.6361 Å, 90.00 90.00 90.00°
Positions (direct):
Ac 0.0000 0.0799 0.0000
Ac 0.0000 0.9201 0.5000
La 0.0000 0.3278 0.3833
La 0.0000 0.6722 0.8833
La 0.5000 0.4187 0.0519
La 0.5000 0.5813 0.5519
Er 0.5000 0.1861 0.6649
Er 0.5000 0.8139 0.1649
Tl 0.0000 0.3644 0.7603
Tl 0.0000 0.6356 0.2603
Tl 0.5000 0.1187 0.2919
Tl 0.5000 0.8813 0.7919

# 2
The following is a PBE calculation of a geometry-optimized AcLa2ErTm structure, from Alexandria.

Formation energy from the elements = 1.743 eV per formula unit
Space group = Cmcm, No. 63
Final energy = -4.25 eV/atom

Cell: 7.3922 7.3922 7.4855 Å, 90.00 90.00 109.98°
Positions (direct):
Ac 0.2443 0.7557 0.7500
Ac 0.7557 0.2443 0.2500
La 0.3026 0.3026 0.0000
La 0.3026 0.3026 0.5000
La 0.6974 0.6974 0.0000
La 0.6974 0.6974 0.5000
Er 0.0419 0.9581 0.2500
Er 0.9581 0.0419 0.7500
Tm 0.2988 0.7012 0.2500
Tm 0.7012 0.2988 0.7500